Entry 1:
Entry from Alexandria: a geometry-optimized Y2SbTe2 structure (PBE).

Results
E_form (uncorrected) (eV per atom): -0.97
Crystal system: monoclinic
Space-group type: No. 15
Relative energy among the computed polymorphs (eV/f.u.): 0.59

a = 8.2691 Å, b = 8.2691 Å, c = 5.8811 Å
α = 115.06°, β = 115.06°, γ = 89.03°
Last column: nearest neighbours and their distance in Å.
Fractional coordinates of all 10 atoms:
Y 0.8460 0.1540 0.2500  3 Sb 2.96-3.23, 4 Te 3.16-3.20
Y 0.1540 0.8460 0.7500  3 Sb 2.96-3.23, 4 Te 3.16-3.20
Y 0.3886 0.6114 0.2500  1 Sb 3.06, 4 Te 3.10-3.29
Y 0.6114 0.3886 0.7500  1 Sb 3.06, 4 Te 3.10-3.29
Sb 0.8754 0.1246 0.7500  4 Y 2.96-3.23
Sb 0.1246 0.8754 0.2500  4 Y 2.96-3.23
Te 0.7915 0.5671 0.4847  4 Y 3.10-3.29, 1 Te 3.41
Te 0.4329 0.2085 0.0153  4 Y 3.10-3.29, 1 Te 3.41
Te 0.2085 0.4329 0.5153  4 Y 3.10-3.29, 1 Te 3.41
Te 0.5671 0.7915 0.9847  4 Y 3.10-3.29, 1 Te 3.41

Entry 2:
Entry from Alexandria: a geometry-optimized YSbTe structure (PBE).

Results
E_form (uncorrected) (eV per atom): -0.57
Crystal system: trigonal
Space-group type: No. 156

a = 3.9822 Å, b = 3.9822 Å, c = 6.9143 Å
α = 90.00°, β = 90.00°, γ = 120.00°
Last column: nearest neighbours and their distance in Å.
Fractional coordinates of all 3 atoms:
Y 0.3333 0.6667 0.6506  3 Te 3.00, 3 Sb 3.23
Sb 0.0000 0.0000 0.9786  3 Y 3.23, 3 Te 3.56
Te 0.6667 0.3333 0.3708  3 Y 3.00